Entry 1:
The following is a DFT calculation (PBE) of a geometry-optimized RuSeSBr2 structure.

Geometry as CIF:
```
data_RuSeSBr2
_chemical_formula_sum 'Ru1 Se1 S1 Br2'
_cell_length_a 5.047
_cell_length_b 5.047
_cell_length_c 4.736
_cell_angle_alpha 90.00
_cell_angle_beta 90.00
_cell_angle_gamma 90.00
_symmetry_space_group_name_H-M 'P 4/m m m'
_symmetry_Int_Tables_number 123
_symmetry_space_group_name_Hall '-P 4 2'
loop_
_atom_site_label
_atom_site_type_symbol
_atom_site_fract_x
_atom_site_fract_y
_atom_site_fract_z
Ru1 Ru 0.000 0.000 0.000
Se1 Se 0.000 0.000 0.500
S1 S 0.500 0.500 0.500
Br1 Br 0.000 0.500 0.000
```

Offset from the most stable computed form (meV per atom): 0.0
E_form (uncorrected) (eV/atom): 0.625

Entry 2:
The following is a DFT calculation (PBE) of a geometry-optimized BeAsRh2 structure.

Geometry as CIF:
```
data_BeAsRh2
_chemical_formula_sum 'Be1 As1 Rh2'
_cell_length_a 2.917
_cell_length_b 3.543
_cell_length_c 5.196
_cell_angle_alpha 90.00
_cell_angle_beta 90.00
_cell_angle_gamma 90.00
_symmetry_space_group_name_H-M 'P m m 2'
_symmetry_Int_Tables_number 25
_symmetry_space_group_name_Hall 'P 2 -2'
loop_
_atom_site_label
_atom_site_type_symbol
_atom_site_fract_x
_atom_site_fract_y
_atom_site_fract_z
Be1 Be 0.000 0.000 0.000
As1 As 0.500 0.500 0.669
Rh1 Rh 0.000 0.000 0.477
Rh2 Rh 0.500 0.500 0.129
```

Offset from the most stable computed form (meV per atom): 50.8
Energy relative to the elements (eV per atom): -0.324

Entry 3:
The following is a DFT calculation (PBE) of a geometry-optimized GeSbAs2Br structure.

Geometry as CIF:
```
data_GeSbAs2Br
_chemical_formula_sum 'Ge1 Sb1 As2 Br1'
_cell_length_a 5.249
_cell_length_b 5.249
_cell_length_c 5.740
_cell_angle_alpha 90.00
_cell_angle_beta 90.00
_cell_angle_gamma 90.00
_symmetry_space_group_name_H-M 'P 4/m m m'
_symmetry_Int_Tables_number 123
_symmetry_space_group_name_Hall '-P 4 2'
loop_
_atom_site_label
_atom_site_type_symbol
_atom_site_fract_x
_atom_site_fract_y
_atom_site_fract_z
Ge1 Ge 0.000 0.000 0.000
Sb1 Sb 0.000 0.000 0.500
As1 As 0.000 0.500 0.500
Br1 Br 0.500 0.500 0.000
```

Offset from the most stable computed form (meV per atom): 307.4
E_form (uncorrected) (eV/atom): 0.850

Entry 4:
The following is a DFT calculation (PBE) of a geometry-optimized Ba2TlSe2 structure.

Geometry as CIF:
```
data_Ba2TlSe2
_chemical_formula_sum 'Ba4 Tl2 Se4'
_cell_length_a 9.176
_cell_length_b 9.176
_cell_length_c 4.127
_cell_angle_alpha 90.00
_cell_angle_beta 90.00
_cell_angle_gamma 90.00
_symmetry_space_group_name_H-M 'P 4/m b m'
_symmetry_Int_Tables_number 127
_symmetry_space_group_name_Hall '-P 4 2ab'
loop_
_atom_site_label
_atom_site_type_symbol
_atom_site_fract_x
_atom_site_fract_y
_atom_site_fract_z
Ba1 Ba 0.146 0.354 0.000
Tl1 Tl 0.000 0.000 0.000
Se1 Se 0.157 0.657 0.500
```

Offset from the most stable computed form (meV per atom): 221.5
E_form (uncorrected) (eV/atom): -1.224

Entry 5:
The following is a DFT calculation (PBE) of a geometry-optimized HgTeMo2Ru structure.

Geometry as CIF:
```
data_HgTeMo2Ru
_chemical_formula_sum 'Hg1 Te1 Mo2 Ru1'
_cell_length_a 5.057
_cell_length_b 5.057
_cell_length_c 5.265
_cell_angle_alpha 90.00
_cell_angle_beta 90.00
_cell_angle_gamma 90.00
_symmetry_space_group_name_H-M 'P 4/m m m'
_symmetry_Int_Tables_number 123
_symmetry_space_group_name_Hall '-P 4 2'
loop_
_atom_site_label
_atom_site_type_symbol
_atom_site_fract_x
_atom_site_fract_y
_atom_site_fract_z
Hg1 Hg 0.000 0.000 0.000
Te1 Te 0.000 0.000 0.500
Mo1 Mo 0.000 0.500 0.000
Ru1 Ru 0.500 0.500 0.500
```

E_form (uncorrected) (eV/atom): 2.712

Entry 6:
The following is a DFT calculation (PBE) of a geometry-optimized LaPH2Pd structure.

Geometry as CIF:
```
data_LaPH2Pd
_chemical_formula_sum 'La1 P1 H2 Pd1'
_cell_length_a 4.028
_cell_length_b 4.028
_cell_length_c 5.727
_cell_angle_alpha 90.00
_cell_angle_beta 90.00
_cell_angle_gamma 90.00
_symmetry_space_group_name_H-M 'P 4/m m m'
_symmetry_Int_Tables_number 123
_symmetry_space_group_name_Hall '-P 4 2'
loop_
_atom_site_label
_atom_site_type_symbol
_atom_site_fract_x
_atom_site_fract_y
_atom_site_fract_z
La1 La 0.000 0.000 0.000
P1 P 0.500 0.500 0.500
H1 H 0.000 0.500 0.000
Pd1 Pd 0.000 0.000 0.500
```

Offset from the most stable computed form (meV per atom): 905.1

Entry 7:
The following is a DFT calculation (PBE) of a geometry-optimized LaPm5Ni2 structure.

Geometry as CIF:
```
data_LaPm5Ni2
_chemical_formula_sum 'La2 Pm10 Ni4'
_cell_length_a 4.874
_cell_length_b 7.579
_cell_length_c 12.781
_cell_angle_alpha 90.00
_cell_angle_beta 90.00
_cell_angle_gamma 90.00
_symmetry_space_group_name_H-M 'I m m m'
_symmetry_Int_Tables_number 71
_symmetry_space_group_name_Hall '-I 2 2'
loop_
_atom_site_label
_atom_site_type_symbol
_atom_site_fract_x
_atom_site_fract_y
_atom_site_fract_z
La1 La 0.000 0.000 0.000
Pm1 Pm 0.000 0.229 0.348
Pm2 Pm 0.000 0.500 0.000
Ni1 Ni 0.000 0.500 0.208
```

Offset from the most stable computed form (meV per atom): 23.4
Energy relative to the elements (eV per atom): -0.078

Entry 8:
The following is a DFT calculation (PBE) of a geometry-optimized AgAu2 structure.

Geometry as CIF:
```
data_AgAu2
_chemical_formula_sum 'Ag2 Au4'
_cell_length_a 4.7569
_cell_length_b 4.7569
_cell_length_c 5.6055
_cell_angle_alpha 90.00
_cell_angle_beta 90.00
_cell_angle_gamma 120.00
_symmetry_space_group_name_H-M 'P 63/m m c'
_symmetry_Int_Tables_number 194
_symmetry_space_group_name_Hall '-P 6c 2c'
loop_
_atom_site_label
_atom_site_type_symbol
_atom_site_fract_x
_atom_site_fract_y
_atom_site_fract_z
Ag1 Ag 0.3333 0.6667 0.2500
Au1 Au 0.0000 0.0000 0.0000
Au2 Au 0.3333 0.6667 0.7500
```

Offset from the most stable computed form (meV per atom): 72.3
Energy relative to the elements (eV per atom): 0.031

Entry 9:
The following is a DFT calculation (PBE) of a geometry-optimized RbGaGeRu2 structure.

Geometry as CIF:
```
data_RbGaGeRu2
_chemical_formula_sum 'Rb1 Ga1 Ge1 Ru2'
_cell_length_a 4.773
_cell_length_b 4.773
_cell_length_c 5.207
_cell_angle_alpha 90.00
_cell_angle_beta 90.00
_cell_angle_gamma 90.00
_symmetry_space_group_name_H-M 'P 4/m m m'
_symmetry_Int_Tables_number 123
_symmetry_space_group_name_Hall '-P 4 2'
loop_
_atom_site_label
_atom_site_type_symbol
_atom_site_fract_x
_atom_site_fract_y
_atom_site_fract_z
Rb1 Rb 0.000 0.000 0.000
Ga1 Ga 0.500 0.500 0.000
Ge1 Ge 0.500 0.500 0.500
Ru1 Ru 0.000 0.500 0.500
```

Energy relative to the elements (eV per atom): 0.916

Entry 10:
The following is a DFT calculation (PBE) of a geometry-optimized CaCuNi4 structure.

Geometry as CIF:
```
data_CaCuNi4
_chemical_formula_sum 'Ca4 Cu4 Ni16'
_cell_length_a 6.881
_cell_length_b 6.881
_cell_length_c 6.881
_cell_angle_alpha 90.00
_cell_angle_beta 90.00
_cell_angle_gamma 90.00
_symmetry_space_group_name_H-M 'F -4 3 m'
_symmetry_Int_Tables_number 216
_symmetry_space_group_name_Hall 'F -4 2 3'
loop_
_atom_site_label
_atom_site_type_symbol
_atom_site_fract_x
_atom_site_fract_y
_atom_site_fract_z
Ca1 Ca 0.000 0.000 0.000
Cu1 Cu 0.250 0.250 0.250
Ni1 Ni 0.124 0.124 0.624
```

Energy relative to the elements (eV per atom): -0.030

Entry 11:
The following is a DFT calculation (PBE) of a geometry-optimized NdDyTh structure.

Geometry as CIF:
```
data_NdDyTh
_chemical_formula_sum 'Nd2 Dy2 Th2'
_cell_length_a 4.957
_cell_length_b 4.957
_cell_length_c 8.561
_cell_angle_alpha 90.00
_cell_angle_beta 90.00
_cell_angle_gamma 90.00
_symmetry_space_group_name_H-M 'P 4/n m m'
_symmetry_Int_Tables_number 129
loop_
_symmetry_equiv_pos_as_xyz
'x,y,z'
'-x,-y,-z'
'-y+1/2,x,z'
'y+1/2,-x,-z'
'-x+1/2,-y+1/2,z'
'x+1/2,y+1/2,-z'
'y,-x+1/2,z'
'-y,x+1/2,-z'
'x+1/2,-y,-z'
'-x+1/2,y,z'
'-y,-x,-z'
'y,x,z'
'-x,y+1/2,-z'
'x,-y+1/2,z'
'y+1/2,x+1/2,-z'
'-y+1/2,-x+1/2,z'
loop_
_atom_site_label
_atom_site_type_symbol
_atom_site_fract_x
_atom_site_fract_y
_atom_site_fract_z
Nd1 Nd 0.250 0.250 0.207
Dy1 Dy 0.250 0.250 0.788
Th1 Th 0.250 0.750 0.500
```

Offset from the most stable computed form (meV per atom): 161.3
Energy relative to the elements (eV per atom): 0.192

Entry 12:
The following is a DFT calculation (PBE) of a geometry-optimized Ca2LaCrTc structure.

Geometry as CIF:
```
data_Ca2LaCrTc
_chemical_formula_sum 'Ca2 La1 Cr1 Tc1'
_cell_length_a 5.228
_cell_length_b 5.228
_cell_length_c 5.030
_cell_angle_alpha 90.00
_cell_angle_beta 90.00
_cell_angle_gamma 90.00
_symmetry_space_group_name_H-M 'P 4/m m m'
_symmetry_Int_Tables_number 123
_symmetry_space_group_name_Hall '-P 4 2'
loop_
_atom_site_label
_atom_site_type_symbol
_atom_site_fract_x
_atom_site_fract_y
_atom_site_fract_z
Ca1 Ca 0.000 0.500 0.000
La1 La 0.000 0.000 0.500
Cr1 Cr 0.000 0.000 0.000
Tc1 Tc 0.500 0.500 0.500
```

Energy relative to the elements (eV per atom): 1.405

Entry 13:
The following is a DFT calculation (PBE) of a geometry-optimized BaIn2Pd4 structure.

Geometry as CIF:
```
data_BaIn2Pd4
_chemical_formula_sum 'Ba4 In8 Pd16'
_cell_length_a 8.363
_cell_length_b 8.363
_cell_length_c 8.630
_cell_angle_alpha 90.00
_cell_angle_beta 90.00
_cell_angle_gamma 90.00
_symmetry_space_group_name_H-M 'I 4/m c m'
_symmetry_Int_Tables_number 140
_symmetry_space_group_name_Hall '-I 4 2c'
loop_
_atom_site_label
_atom_site_type_symbol
_atom_site_fract_x
_atom_site_fract_y
_atom_site_fract_z
Ba1 Ba 0.000 0.000 0.250
In1 In 0.151 0.349 0.000
Pd1 Pd 0.144 0.356 0.337
```

Offset from the most stable computed form (meV per atom): 0.0
Energy relative to the elements (eV per atom): -0.569

Entry 14:
The following is a DFT calculation (PBE) of a geometry-optimized CeMgCdCu structure.

Geometry as CIF:
```
data_CeMgCdCu
_chemical_formula_sum 'Ce4 Mg4 Cd4 Cu4'
_cell_length_a 7.064
_cell_length_b 7.064
_cell_length_c 7.064
_cell_angle_alpha 90.00
_cell_angle_beta 90.00
_cell_angle_gamma 90.00
_symmetry_space_group_name_H-M 'F -4 3 m'
_symmetry_Int_Tables_number 216
_symmetry_space_group_name_Hall 'F -4 2 3'
loop_
_atom_site_label
_atom_site_type_symbol
_atom_site_fract_x
_atom_site_fract_y
_atom_site_fract_z
Ce1 Ce 0.000 0.000 0.000
Mg1 Mg 0.000 0.000 0.500
Cd1 Cd 0.250 0.250 0.750
Cu1 Cu 0.250 0.250 0.250
```

Energy relative to the elements (eV per atom): -0.126

Entry 15:
The following is a DFT calculation (PBE) of a geometry-optimized BaGaAg3 structure.

Geometry as CIF:
```
data_BaGaAg3
_chemical_formula_sum 'Ba1 Ga1 Ag3'
_cell_length_a 6.202
_cell_length_b 6.202
_cell_length_c 6.202
_cell_angle_alpha 90.00
_cell_angle_beta 90.00
_cell_angle_gamma 90.00
_symmetry_space_group_name_H-M 'P m -3 m'
_symmetry_Int_Tables_number 221
_symmetry_space_group_name_Hall '-P 4 2 3'
loop_
_atom_site_label
_atom_site_type_symbol
_atom_site_fract_x
_atom_site_fract_y
_atom_site_fract_z
Ba1 Ba 0.000 0.000 0.000
Ga1 Ga 0.500 0.500 0.500
Ag1 Ag 0.000 0.000 0.500
```

Offset from the most stable computed form (meV per atom): 1120.6
Energy relative to the elements (eV per atom): 0.896

Entry 16:
The following is a DFT calculation (PBE) of a geometry-optimized BaTlHg2Au structure.

Geometry as CIF:
```
data_BaTlHg2Au
_chemical_formula_sum 'Ba1 Tl1 Hg2 Au1'
_cell_length_a 5.434
_cell_length_b 5.434
_cell_length_c 5.587
_cell_angle_alpha 90.00
_cell_angle_beta 90.00
_cell_angle_gamma 90.00
_symmetry_space_group_name_H-M 'P 4/m m m'
_symmetry_Int_Tables_number 123
_symmetry_space_group_name_Hall '-P 4 2'
loop_
_atom_site_label
_atom_site_type_symbol
_atom_site_fract_x
_atom_site_fract_y
_atom_site_fract_z
Ba1 Ba 0.000 0.000 0.000
Tl1 Tl 0.500 0.500 0.000
Hg1 Hg 0.000 0.500 0.500
Au1 Au 0.500 0.500 0.500
```

Offset from the most stable computed form (meV per atom): 195.4
Energy relative to the elements (eV per atom): -0.179

Entry 17:
The following is a DFT calculation (PBE) of a geometry-optimized Tl2HgOs structure.

Geometry as CIF:
```
data_Tl2HgOs
_chemical_formula_sum 'Tl4 Hg2 Os2'
_cell_length_a 4.391
_cell_length_b 4.391
_cell_length_c 8.799
_cell_angle_alpha 90.00
_cell_angle_beta 90.00
_cell_angle_gamma 90.00
_symmetry_space_group_name_H-M 'I 4/m m m'
_symmetry_Int_Tables_number 139
_symmetry_space_group_name_Hall '-I 4 2'
loop_
_atom_site_label
_atom_site_type_symbol
_atom_site_fract_x
_atom_site_fract_y
_atom_site_fract_z
Tl1 Tl 0.000 0.500 0.250
Hg1 Hg 0.000 0.000 0.000
Os1 Os 0.000 0.000 0.500
```

Offset from the most stable computed form (meV per atom): 318.4
Energy relative to the elements (eV per atom): 0.916

Entry 18:
The following is a DFT calculation (PBE) of a geometry-optimized Sr2TcSb structure.

Geometry as CIF:
```
data_Sr2TcSb
_chemical_formula_sum 'Sr4 Tc2 Sb2'
_cell_length_a 7.136
_cell_length_b 9.067
_cell_length_c 3.534
_cell_angle_alpha 90.00
_cell_angle_beta 90.00
_cell_angle_gamma 90.00
_symmetry_space_group_name_H-M 'C m m m'
_symmetry_Int_Tables_number 65
_symmetry_space_group_name_Hall '-C 2 2'
loop_
_atom_site_label
_atom_site_type_symbol
_atom_site_fract_x
_atom_site_fract_y
_atom_site_fract_z
Sr1 Sr 0.250 0.250 0.000
Tc1 Tc 0.000 0.000 0.500
Sb1 Sb 0.000 0.500 0.500
```

E_form (uncorrected) (eV/atom): 0.268

Entry 19:
The following is a DFT calculation (PBE) of a geometry-optimized Lu2MnAl structure.

Geometry as CIF:
```
data_Lu2MnAl
_chemical_formula_sum 'Lu8 Mn4 Al4'
_cell_length_a 7.024
_cell_length_b 7.024
_cell_length_c 7.024
_cell_angle_alpha 90.00
_cell_angle_beta 90.00
_cell_angle_gamma 90.00
_symmetry_space_group_name_H-M 'F m -3 m'
_symmetry_Int_Tables_number 225
_symmetry_space_group_name_Hall '-F 4 2 3'
loop_
_atom_site_label
_atom_site_type_symbol
_atom_site_fract_x
_atom_site_fract_y
_atom_site_fract_z
Lu1 Lu 0.250 0.250 0.250
Mn1 Mn 0.000 0.000 0.000
Al1 Al 0.000 0.000 0.500
```

Offset from the most stable computed form (meV per atom): 52.9
Energy relative to the elements (eV per atom): -0.097

Entry 20:
The following is a DFT calculation (PBE) of a geometry-optimized SmHoCS structure.

Geometry as CIF:
```
data_SmHoCS
_chemical_formula_sum 'Sm1 Ho1 C1 S1'
_cell_length_a 3.836
_cell_length_b 3.836
_cell_length_c 5.336
_cell_angle_alpha 90.00
_cell_angle_beta 90.00
_cell_angle_gamma 90.00
_symmetry_space_group_name_H-M 'P 4/m m m'
_symmetry_Int_Tables_number 123
_symmetry_space_group_name_Hall '-P 4 2'
loop_
_atom_site_label
_atom_site_type_symbol
_atom_site_fract_x
_atom_site_fract_y
_atom_site_fract_z
Sm1 Sm 0.000 0.000 0.000
Ho1 Ho 0.500 0.500 0.500
C1 C 0.000 0.000 0.500
S1 S 0.500 0.500 0.000
```

E_form (uncorrected) (eV/atom): -1.019

Energy list, top to bottom, in eV per cell: -17.109 -24.373 -15.463 -38.598 -20.820 -21.124 -81.734 -18.624 -22.585 -117.618 -32.430 -21.893 -128.620 -52.180 -9.025 -9.064 -25.204 -33.559 -89.364 -26.722